Below is a relaxed AlTl2W crystal, with properties calculated at the PBE-GGA level.

Cell lengths 4.195, 4.195, 9.161 Å; angles 90.00, 90.00, 90.00 degrees
Space group I4/mmm (No. 139)
Asymmetric unit:
Al  0.000  0.000  0.000 [2 per cell]
Tl  0.000  0.500  0.250 [4 per cell]
W  0.000  0.000  0.500 [2 per cell]

Computed properties:
DOS(E_F) (states/eV/atom): 0.7829
Crystal system: tetragonal



Below is a relaxed AlTl2W crystal, with properties calculated at the PBE-GGA level.

Cell lengths 2.916, 4.921, 13.237 Å; angles 90.00, 90.00, 90.00 degrees
Space group Imm2 (No. 44)
Asymmetric unit:
Al  0.000  0.000  0.000 [2 per cell]
Tl  0.000  0.000  0.624 [2 per cell]
Tl  0.000  0.500  0.824 [2 per cell]
W  0.000  0.500  0.331 [2 per cell]

Computed properties:
DOS(E_F) (states/eV/atom): 0.6585
Crystal system: orthorhombic



Below is a relaxed AlTl2W crystal, with properties calculated at the PBE-GGA level.

Cell lengths 7.021, 7.021, 7.021 Å; angles 90.00, 90.00, 90.00 degrees
Space group F-43m (No. 216)
Asymmetric unit:
Al  0.000  0.000  0.000 [4 per cell]
Tl  0.000  0.000  0.500 [4 per cell]
Tl  0.250  0.250  0.750 [4 per cell]
W  0.250  0.250  0.250 [4 per cell]

Computed properties:
DOS(E_F) (states/eV/atom): 0.8600
Crystal system: cubic



Below is a relaxed AlTlW4 crystal, with properties calculated at the PBE-GGA level.

Cell lengths 7.601, 7.601, 7.601 Å; angles 90.00, 90.00, 90.00 degrees
Space group F-43m (No. 216)
Asymmetric unit:
Al  0.000  0.000  0.000 [4 per cell]
Tl  0.250  0.250  0.750 [4 per cell]
W  0.125  0.125  0.375 [16 per cell]

Computed properties:
DOS(E_F) (states/eV/atom): 0.7189
Crystal system: cubic



Below is a relaxed AlTl2W crystal, with properties calculated at the PBE-GGA level.

Cell lengths 10.659, 3.000, 5.171 Å; angles 90.00, 95.89, 90.00 degrees
Space group C2/m (No. 12)
Asymmetric unit:
Al  0.000  0.000  0.000 [2 per cell]
Tl  0.239  0.000  0.745 [4 per cell]
W  0.000  0.500  0.500 [2 per cell]

Computed properties:
DOS(E_F) (states/eV/atom): 0.4478
Crystal system: monoclinic



Below is a relaxed AlTl2W crystal, with properties calculated at the PBE-GGA level.

Cell lengths 6.204, 8.686, 3.031 Å; angles 90.00, 90.00, 90.00 degrees
Space group Cmmm (No. 65)
Asymmetric unit:
Al  0.000  0.000  0.000 [2 per cell]
Tl  0.250  0.250  0.500 [4 per cell]
W  0.000  0.500  0.000 [2 per cell]

Computed properties:
DOS(E_F) (states/eV/atom): 0.8573
Crystal system: orthorhombic



Sequential formation energy output: 0.8843, 0.6491, 1.1158, 0.7144, 0.7645, 0.8949 eV per atom